A relaxed InTc2Ru2 crystal. Source: Alexandria, functional PBE.

Cell: 7.5833 7.5833 2.7948 Å, 90.00 90.00 90.00°
Fractional positions:
Ru (0.1240, 0.3760, 0.0000)
Tc (0.3349, 0.1651, 0.5000)
In (0.0000, 0.0000, 0.0000)
Ru (0.3760, 0.8760, 0.0000)
In (0.5000, 0.5000, 0.0000)
Tc (0.8349, 0.3349, 0.5000)
Ru (0.8760, 0.6240, 0.0000)
Tc (0.1651, 0.6651, 0.5000)
Ru (0.6240, 0.1240, 0.0000)
Tc (0.6651, 0.8349, 0.5000)

## Properties
For the theoretical density, the calculation gives 10.6 g/cm³. Its total energy is -8.1885 eV per atom. Its symmetry is P4/mbm. The excess energy over the best structure of this formula in the dataset is 3 meV/atom. For the formation energy from the elements, the calculation gives 21 kJ/mol of atoms.